# FeSe2NO

A relaxed structure of FeSe2NO (PBE+U, the Alexandria database).

## Properties
* crystal system: tetragonal
* DFT total energy: -3.932 eV per atom

a = 4.9326 Å, b = 4.9326 Å, c = 3.5028 Å
α = 90.00°, β = 90.00°, γ = 90.00°
Closest atoms and distances in Å follow each position.
Fractional positions:
Se 0.5000 0.0000 0.0000  2 Fe 2.47
Se 0.0000 0.5000 0.0000  2 Fe 2.47
O 0.5000 0.5000 0.5000  8 Se 3.02
Fe 0.0000 0.0000 0.0000  2 N 1.75
N 0.0000 0.0000 0.5000  2 Fe 1.75